[1]
## NaMgFeGe2 (GGA-PBE)

Data for NaMgFeGe2 after structural relaxation.

The space group is P4/mmm (No. 123) and the conventional cell measures 4.576, 4.576 and 4.883 Å, with angles of 90.00, 90.00 and 90.00 degrees. The distinct sites, in fractional coordinates, are Na at (0.000, 0.000, 0.000), Mg at (0.500, 0.500, 0.000), Fe at (0.500, 0.500, 0.500) and Ge at (0.000, 0.500, 0.500).

Its magnetization is 1.08 Bohr magnetons per cell. The calculated density is 4.0 g/cm³. The value obtained for the formation energy from the elements is 0.03 eV per formula unit. As for the total energy: -4.117 eV per atom.



[2]
## MgFe2GePb (GGA-PBE)

Data for MgFe2GePb after structural relaxation.

The space group is P4/mmm (No. 123) and the conventional cell measures 4.948, 4.948 and 5.451 Å, with angles of 90.00, 90.00 and 90.00 degrees. The distinct sites, in fractional coordinates, are Mg at (0.000, 0.000, 0.000), Fe at (0.000, 0.500, 0.500), Ge at (0.500, 0.500, 0.000) and Pb at (0.500, 0.500, 0.500).

Its magnetization is 5.29 Bohr magnetons per cell. The calculated density is 5.2 g/cm³. The value obtained for the formation energy from the elements is 6.58 eV per formula unit. As for the total energy: -4.053 eV per atom.